No. 1
4
Lattice="1.769 1.021 8.097 -1.769 1.021 8.097 0.000 -2.042 8.097" Properties=species:S:1:pos:R:3 comment="MgRhSe2 PBE-GGA relaxed" total_magnetization_mub_per_atom=0.078 final_energy_ev_per_atom=-4.07 spacegroup="No. 166" e_form_raw_ev_per_atom=-0.090 pbc="T T T"
Mg 0.000 0.000 0.000
Rh 0.000 0.000 12.146
Se 0.000 0.000 9.798
Se 0.000 0.000 14.494

=====

No. 2
4
Lattice="-1.818 1.938 8.145 1.818 -1.938 8.145 1.818 1.938 -8.145" Properties=species:S:1:pos:R:3 comment="La2TcBr PBE-GGA relaxed" total_magnetization_mub_per_atom=0.000 final_energy_ev_per_atom=-6.00 relative_energy_mev_per_atom=127 spacegroup="No. 44" e_form_raw_ev_per_atom=-0.525 pbc="T T T"
La 0.000 0.000 0.000
La 0.000 1.938 4.828
Tc 1.818 0.000 6.432
Br 0.000 0.000 10.266